The following is a DFT calculation (GGA-PBE) of a relaxed Y3Fe7Ni2 crystal.

Calculated values
As for the calculated volume: 15.24 Å³/atom. For the formation energy, the calculation gives -0.12 eV/atom.

Cell and atoms, written as POSCAR:
```
Y3Fe7Ni2
1.0
-1.894 2.467 -3.981
-4.699 1.848 0.175
0.718 8.565 1.759
Y Fe Ni
3 7 2
direct
0.000 0.000 0.000
0.858 0.858 0.425
0.142 0.142 0.575
0.917 0.419 0.246
0.581 0.083 0.754
0.419 0.917 0.246
0.083 0.581 0.754
0.581 0.581 0.754
0.419 0.419 0.246
0.500 0.500 0.500
0.667 0.667 0.998
0.333 0.333 0.002
```

The following is a DFT calculation (GGA-PBE) of a relaxed Tb6SiTe3P2 crystal.

Calculated values
As for the calculated volume: 26.70 Å³/atom. Its energy relative to the elements, uncorrected is -1.420 eV/atom.

Cell and atoms, written as POSCAR:
```
Tb6SiTe3P2
1.0
4.169 0.000 0.000
0.000 8.572 0.141
-2.084 -2.642 8.924
Tb Te P Si
6 3 2 1
direct
0.675 0.563 0.351
0.992 0.768 0.984
0.325 0.437 0.649
0.008 0.232 0.016
0.341 0.896 0.682
0.659 0.104 0.318
0.500 0.500 0.000
0.833 0.167 0.666
0.167 0.833 0.334
0.167 0.335 0.335
0.833 0.665 0.665
0.500 0.000 0.000
```

The following is a DFT calculation (GGA-PBE) of a relaxed Rb2HfSb crystal.

Calculated values
As for the calculated volume: 39.03 Å³/atom. Its energy relative to the elements, uncorrected is 0.976 eV/atom. The relative energy among the computed polymorphs is 0.527 eV/atom.

Cell and atoms, written as POSCAR:
```
Rb2HfSb
1.0
-2.019 -3.459 4.526
-2.650 2.546 4.798
-5.943 -0.665 0.877
Rb Sb Hf
2 1 1
direct
0.750 0.750 0.750
0.250 0.250 0.250
0.000 0.000 0.000
0.500 0.500 0.500
```

The following is a DFT calculation (GGA-PBE) of a relaxed Er6ThCo3 crystal.

Calculated values
As for the calculated volume: 24.85 Å³/atom. For the formation energy, the calculation gives -0.06 eV/atom.

Cell and atoms, written as POSCAR:
```
Er6ThCo3
1.0
-3.278 -0.038 -6.455
2.490 -7.810 -1.219
-7.040 -2.497 3.590
Er Co Th
12 6 2
direct
0.049 0.730 0.721
0.799 0.001 0.999
0.049 0.279 0.270
0.298 0.501 0.000
0.549 0.270 0.279
0.299 0.999 0.001
0.798 0.000 0.501
0.549 0.721 0.730
0.549 0.333 0.667
0.798 0.499 0.000
0.298 0.000 0.499
0.049 0.667 0.333
0.047 0.969 0.250
0.547 0.250 0.969
0.047 0.750 0.031
0.799 0.500 0.500
0.299 0.500 0.500
0.547 0.031 0.750
0.049 0.325 0.675
0.549 0.675 0.325
```